Density functional theory data (PBE-GGA) for a geometry-optimized Nd2GdB2Pd2N3 structure.

Output
SG   No. 139

Geometry as POSCAR:
```
Nd2GdB2Pd2N3
1.0
-1.8625 1.8625 10.2770
1.8625 -1.8625 10.2770
1.8625 1.8625 -10.2770
B Gd N Nd Pd
2 1 3 2 2
Direct
0.1854 0.1854 0.0000
0.8146 0.8146 0.0000
0.0000 0.0000 0.0000
0.1159 0.1159 0.0000
0.5000 0.5000 0.0000
0.8841 0.8841 0.0000
0.3800 0.3800 0.0000
0.6200 0.6200 0.0000
0.7500 0.2500 0.5000
0.2500 0.7500 0.5000
```

***

Density functional theory data (PBE-GGA) for a geometry-optimized PrMgCuTe2Se structure.

Output
SG   No. 63

Geometry as POSCAR:
```
PrMgCuTe2Se
1.0
2.0517 -6.8391 0.0000
2.0517 6.8391 0.0000
0.0000 0.0000 11.2114
Cu Mg Pr Se Te
2 2 2 2 4
Direct
0.4799 0.5201 0.2500
0.5201 0.4799 0.7500
0.7426 0.2574 0.2500
0.2574 0.7426 0.7500
0.0000 0.0000 0.0000
0.0000 0.0000 0.5000
0.0918 0.9082 0.2500
0.9082 0.0918 0.7500
0.3416 0.6584 0.0854
0.3416 0.6584 0.4146
0.6584 0.3416 0.5854
0.6584 0.3416 0.9146
```

***

Density functional theory data (PBE-GGA) for a geometry-optimized YTlZnCo structure.

Output
SG   No. 216

Geometry as POSCAR:
```
YTlZnCo
1.0
-1.7503 -4.3113 -1.0770
-2.6032 -2.3910 3.2121
-4.6932 -0.5709 -0.6776
Co Tl Y Zn
1 1 1 1
Direct
0.7500 0.7500 0.7500
0.0000 0.0000 0.0000
0.2500 0.2500 0.2500
0.5000 0.5000 0.5000
```

***

Density functional theory data (PBE-GGA) for a geometry-optimized LiCd2Pt structure.

Output
SG   No. 139

Geometry as POSCAR:
```
LiCd2Pt
1.0
-0.7653 2.4891 -3.7879
-2.0253 -5.3505 -3.1068
-12.8932 2.4376 4.2068
Cd Li Pt
12 6 6
Direct
0.5000 0.2500 0.0000
0.5000 0.7500 0.0000
0.9996 0.2500 0.1667
0.9996 0.7500 0.1667
0.4996 0.2500 0.3333
0.4996 0.7500 0.3333
0.0000 0.2500 0.5000
0.0000 0.7500 0.5000
0.5004 0.2500 0.6667
0.5004 0.7500 0.6667
0.0004 0.2500 0.8333
0.0004 0.7500 0.8333
0.0000 0.5000 0.0000
0.4997 0.0000 0.1667
0.9997 0.5000 0.3333
0.5000 0.0000 0.5000
0.0003 0.5000 0.6667
0.5003 0.0000 0.8333
0.0000 0.0000 0.0000
0.4998 0.5000 0.1667
0.9998 0.0000 0.3333
0.5000 0.5000 0.5000
0.0002 0.0000 0.6667
0.5002 0.5000 0.8333
```

***

Density functional theory data (PBE-GGA) for a geometry-optimized PaBOs3 structure.

Output
SG   No. 221

Geometry as POSCAR:
```
PaBOs3
1.0
-3.5541 -1.7703 -1.4473
-0.8996 -1.3767 3.8930
-2.1022 3.5820 0.7809
B Os Pa
1 3 1
Direct
0.0000 0.0000 0.0000
0.5000 0.0000 0.0000
0.0000 0.5000 0.0000
0.0000 0.0000 0.5000
0.5000 0.5000 0.5000
```

***

Density functional theory data (PBE-GGA) for a geometry-optimized PuInTe structure.

Output
SG   No. 216

Geometry as POSCAR:
```
PuInTe
1.0
0.0000 3.6066 3.6066
3.6066 0.0000 3.6066
3.6066 3.6066 0.0000
In Pu Te
1 1 1
Direct
0.2500 0.2500 0.2500
0.7500 0.7500 0.7500
0.0000 0.0000 0.0000
```

***

Number 1: total magnetic moment 0.0 μB per formula unit, DFT total energy -7.392 eV per atom. Number 2: total magnetic moment 0.0 μB per formula unit, DFT total energy -4.174 eV per atom. Number 3: total magnetic moment 0.8 μB per formula unit, DFT total energy -4.241 eV per atom. Number 4: total magnetic moment 0.0 μB per formula unit, DFT total energy -2.878 eV per atom. Number 5: total magnetic moment 0.0 μB per formula unit, DFT total energy -10.352 eV per atom. Number 6: total magnetic moment 5.9 μB per formula unit, DFT total energy -6.878 eV per atom.